{"formula": "KMoN", "functional": "PBE", "state": "relaxed", "magmom_total_mub_per_cell": 0.00, "e_form_raw_ev_per_atom": 0.04, "lattice": [[3.400, 0.000, 0.000], [-1.700, 2.945, 0.000], [-0.062, -1.869, 12.020]], "species": ["K", "K", "Mo", "Mo", "N", "N"], "frac_coords": [[0.000, 0.000, 0.000], [0.221, 0.419, 0.659], [0.412, 0.816, 0.235], [0.476, 0.936, 0.425], [0.728, 0.448, 0.181], [0.827, 0.637, 0.478]]}

{"formula": "KRb2GaI6", "functional": "PBE", "state": "relaxed", "magmom_total_mub_per_cell": 0.00, "e_form_raw_ev_per_atom": -0.98, "lattice": [[0.000, 6.172, 6.172], [6.172, 0.000, 6.172], [6.172, 6.172, 0.000]], "species": ["K", "Rb", "Rb", "Ga", "I", "I", "I", "I", "I", "I"], "frac_coords": [[0.000, 0.000, 0.000], [0.250, 0.250, 0.250], [0.750, 0.750, 0.750], [0.500, 0.500, 0.500], [0.272, 0.272, 0.728], [0.272, 0.728, 0.272], [0.272, 0.728, 0.728], [0.728, 0.272, 0.272], [0.728, 0.272, 0.728], [0.728, 0.728, 0.272]]}